No. 1
Ac4InRh | PBE | relaxed Values from VASP.

```
&SYSTEM
  ibrav = 0, nat = 24, ntyp = 3
/
ATOMIC_SPECIES
Ac 227.00 Ac.upf
Rh 102.91 Rh.upf
In 114.82 In.upf
CELL_PARAMETERS angstrom
-9.3319 -0.4128 4.9275
-0.7050 -4.2945 9.6227
-1.8112 6.1373 8.4017
ATOMIC_POSITIONS crystal
Ac 0.1872 0.8128 0.1872
Ac 0.5583 0.9417 0.9417
Ac 0.5583 0.5583 0.9417
Ac 0.1872 0.1872 0.8128
Ac 0.8128 0.1872 0.1872
Ac 0.7920 0.4027 0.4027
Ac 0.4027 0.4027 0.7920
Ac 0.1872 0.8128 0.8128
Ac 0.5583 0.9417 0.5583
Ac 0.4027 0.4027 0.4027
Ac 0.8128 0.8128 0.1872
Ac 0.9417 0.5583 0.5583
Ac 0.9417 0.5583 0.9417
Ac 0.4027 0.7920 0.4027
Ac 0.8128 0.1872 0.8128
Ac 0.9417 0.9417 0.5583
Rh 0.6082 0.6082 0.1754
Rh 0.6082 0.6082 0.6082
Rh 0.6082 0.1754 0.6082
Rh 0.1754 0.6082 0.6082
In 0.1722 0.1722 0.1722
In 0.1722 0.4833 0.1722
In 0.1722 0.1722 0.4833
In 0.4833 0.1722 0.1722
```

Properties
E above lowest polymorph: 0 meV per atom

=====

No. 2
AcIn3Rh | PBE | relaxed Values from VASP.

```
&SYSTEM
  ibrav = 0, nat = 20, ntyp = 3
/
ATOMIC_SPECIES
In 114.82 In.upf
Ac 227.00 Ac.upf
Rh 102.91 Rh.upf
CELL_PARAMETERS angstrom
-2.4071 2.7648 -2.7493
4.7935 -3.1190 -7.3333
-8.0829 -8.6376 -1.6097
ATOMIC_POSITIONS crystal
In 0.2500 0.3570 0.2858
In 0.7500 0.9462 0.5856
In 0.7500 0.1430 0.7858
In 0.7500 0.1081 0.2142
In 0.2500 0.0538 0.4144
In 0.7500 0.4462 0.9144
In 0.7500 0.6081 0.2858
In 0.7500 0.6430 0.7142
In 0.2500 0.8919 0.7858
In 0.2500 0.5538 0.0856
In 0.2500 0.8570 0.2142
In 0.2500 0.3919 0.7142
Ac 0.7500 0.8039 0.0032
Ac 0.2500 0.6961 0.5032
Ac 0.2500 0.1961 0.9968
Ac 0.7500 0.3039 0.4968
Rh 0.7500 0.8842 0.3574
Rh 0.2500 0.6158 0.8574
Rh 0.2500 0.1158 0.6426
Rh 0.7500 0.3842 0.1426
```

Properties
E above lowest polymorph: 0 meV per atom

=====

No. 3
Ac7In2Rh2 | PBE | relaxed Values from VASP.

```
&SYSTEM
  ibrav = 0, nat = 11, ntyp = 3
/
ATOMIC_SPECIES
Ac 227.00 Ac.upf
In 114.82 In.upf
Rh 102.91 Rh.upf
CELL_PARAMETERS angstrom
7.4300 -0.0026 -1.0318
0.0031 7.6406 0.0037
-1.4927 -0.0028 7.3513
ATOMIC_POSITIONS crystal
Ac 0.5000 0.7472 0.0000
Ac 0.5000 0.2528 0.0000
Ac 0.0000 0.2528 0.5000
Ac 0.0000 0.0000 0.0000
Ac 0.5000 0.2462 0.5000
Ac 0.5000 0.7538 0.5000
Ac 0.0000 0.7472 0.5000
In 0.8345 0.5000 0.8345
In 0.1655 0.5000 0.1655
Rh 0.7054 0.0000 0.2946
Rh 0.2946 0.0000 0.7054
```

=====

No. 4
AcIn12Rh4 | PBE | relaxed Values from VASP.

```
&SYSTEM
  ibrav = 0, nat = 17, ntyp = 3
/
ATOMIC_SPECIES
In 114.82 In.upf
Rh 102.91 Rh.upf
Ac 227.00 Ac.upf
CELL_PARAMETERS angstrom
8.3318 0.0000 0.0000
-2.7773 7.8553 0.0000
-2.7773 -3.9277 6.8029
ATOMIC_POSITIONS crystal
In 0.1712 0.6669 0.8380
In 0.4957 0.8288 0.6669
In 0.1620 0.8288 0.3331
In 0.8380 0.1712 0.6669
In 0.1712 0.3331 0.5043
In 0.6669 0.4957 0.8288
In 0.3331 0.1620 0.8288
In 0.8288 0.3331 0.1620
In 0.5043 0.1712 0.3331
In 0.8288 0.6669 0.4957
In 0.6669 0.8380 0.1712
In 0.3331 0.5043 0.1712
Rh 0.0000 0.0000 0.5000
Rh 0.0000 0.5000 0.0000
Rh 0.5000 0.5000 0.5000
Rh 0.5000 0.0000 0.0000
Ac 0.0000 0.0000 0.0000
```

=====

No. 5
AcIn3Rh3 | PBE | relaxed Values from VASP.

```
&SYSTEM
  ibrav = 0, nat = 14, ntyp = 3
/
ATOMIC_SPECIES
In 114.82 In.upf
Ac 227.00 Ac.upf
Rh 102.91 Rh.upf
CELL_PARAMETERS angstrom
-2.8458 -2.3642 7.5405
0.3607 -8.0752 2.2822
3.9672 -2.6835 5.3337
ATOMIC_POSITIONS crystal
In 0.1357 0.3636 0.6414
In 0.8593 0.1357 0.6414
In 0.8643 0.6364 0.3586
In 0.3636 0.8593 0.6414
In 0.6364 0.1407 0.3586
In 0.1407 0.8643 0.3586
Ac 0.6647 0.6647 0.0060
Ac 0.3353 0.3353 0.9940
Rh 0.6203 0.9619 0.1443
Rh 0.9619 0.2735 0.1443
Rh 0.3797 0.0381 0.8557
Rh 0.7265 0.3797 0.8557
Rh 0.2735 0.6203 0.1443
Rh 0.0381 0.7265 0.8557
```

Properties
E above lowest polymorph: 0 meV per atom

=====

No. 6
Ac5InRh2 | PBE | relaxed Values from VASP.

```
&SYSTEM
  ibrav = 0, nat = 16, ntyp = 3
/
ATOMIC_SPECIES
Ac 227.00 Ac.upf
Rh 102.91 Rh.upf
In 114.82 In.upf
CELL_PARAMETERS angstrom
7.6218 -0.0001 -3.5980
-1.6984 7.4302 -3.5979
-0.1655 -0.2074 9.5217
ATOMIC_POSITIONS crystal
Ac 0.2945 0.7945 0.2663
Ac 0.0000 0.0000 0.0000
Ac 0.0282 0.5282 0.7337
Ac 0.5282 0.7055 0.7337
Ac 0.2055 0.0282 0.7337
Ac 0.4718 0.2945 0.2663
Ac 0.5000 0.5000 0.0000
Ac 0.7055 0.2055 0.7337
Ac 0.9718 0.4718 0.2663
Ac 0.7945 0.9718 0.2663
Rh 0.1401 0.3599 0.0000
Rh 0.6401 0.1401 0.0000
Rh 0.3599 0.8599 0.0000
Rh 0.8599 0.6401 0.0000
In 0.2500 0.2500 0.5000
In 0.7500 0.7500 0.5000
```

=====

No. 7
Ac12In5Rh2 | PBE | relaxed Values from VASP.

```
&SYSTEM
  ibrav = 0, nat = 19, ntyp = 3
/
ATOMIC_SPECIES
In 114.82 In.upf
Rh 102.91 Rh.upf
Ac 227.00 Ac.upf
CELL_PARAMETERS angstrom
8.5775 0.0000 0.0000
-4.2888 9.2778 0.1330
0.0000 -3.1174 10.0402
ATOMIC_POSITIONS crystal
In 0.0000 0.0000 0.5000
In 0.3032 0.6064 0.6340
In 0.6901 0.3803 0.8408
In 0.3099 0.6197 0.1592
In 0.6968 0.3936 0.3660
Rh 0.2577 0.0000 0.0000
Rh 0.7423 0.0000 0.0000
Ac 0.4997 0.9995 0.2107
Ac 0.4244 0.3287 0.0948
Ac 0.9042 0.3002 0.5754
Ac 0.6040 0.6998 0.4246
Ac 0.0958 0.6998 0.4246
Ac 0.9854 0.9707 0.1800
Ac 0.9043 0.3287 0.0948
Ac 0.0957 0.6713 0.9052
Ac 0.5756 0.6713 0.9052
Ac 0.3960 0.3002 0.5754
Ac 0.5003 0.0005 0.7893
Ac 0.0146 0.0293 0.8200
```

=====

No. 8
AcIn3Rh2 | PBE | relaxed Values from VASP.

```
&SYSTEM
  ibrav = 0, nat = 18, ntyp = 3
/
ATOMIC_SPECIES
In 114.82 In.upf
Ac 227.00 Ac.upf
Rh 102.91 Rh.upf
CELL_PARAMETERS angstrom
4.4092 0.0000 0.0000
-2.2046 8.5566 -2.8515
0.0000 -0.0057 11.0423
ATOMIC_POSITIONS crystal
In 0.6295 0.2590 0.2042
In 0.3269 0.6538 0.0371
In 0.0434 0.0867 0.3448
In 0.9566 0.9133 0.6552
In 0.7814 0.5628 0.6034
In 0.3705 0.7410 0.7958
In 0.6731 0.3462 0.9629
In 0.5000 0.0000 0.5000
In 0.2186 0.4372 0.3966
Ac 0.1614 0.3228 0.7083
Ac 0.0000 0.0000 0.0000
Ac 0.8386 0.6772 0.2917
Rh 0.6337 0.2674 0.4498
Rh 0.3663 0.7326 0.5502
Rh 0.2002 0.4004 0.1335
Rh 0.4752 0.9505 0.2143
Rh 0.7998 0.5996 0.8665
Rh 0.5248 0.0495 0.7857
```

Properties
E above lowest polymorph: 0 meV per atom

=====

No. 9
Ac6InRh | PBE | relaxed Values from VASP.

```
&SYSTEM
  ibrav = 0, nat = 8, ntyp = 3
/
ATOMIC_SPECIES
Rh 102.91 Rh.upf
Ac 227.00 Ac.upf
In 114.82 In.upf
CELL_PARAMETERS angstrom
7.1330 0.1656 0.0000
1.8067 8.2742 0.0000
0.9033 4.1371 5.6514
ATOMIC_POSITIONS crystal
Rh 0.5000 0.5000 0.0000
Ac 0.2180 0.8141 0.6370
Ac 0.2180 0.4511 0.3630
Ac 0.7820 0.5489 0.6370
Ac 0.7820 0.1859 0.3630
Ac 0.6532 0.7845 0.0000
Ac 0.3468 0.2155 0.0000
In 0.0000 0.0000 0.0000
```

=====

No. 10
Ac8In3Rh | PBE | relaxed Values from VASP.

```
&SYSTEM
  ibrav = 0, nat = 12, ntyp = 3
/
ATOMIC_SPECIES
Rh 102.91 Rh.upf
Ac 227.00 Ac.upf
In 114.82 In.upf
CELL_PARAMETERS angstrom
7.8586 0.0000 0.0000
0.0000 7.8586 0.0000
-3.9293 -3.9293 7.8489
ATOMIC_POSITIONS crystal
Rh 0.0000 0.0000 0.0000
Ac 0.6431 0.6431 0.7619
Ac 0.6431 0.1188 0.7619
Ac 0.3569 0.8812 0.2381
Ac 0.8812 0.3569 0.2381
Ac 0.1188 0.6431 0.7619
Ac 0.3569 0.3569 0.2381
Ac 0.1188 0.1188 0.7619
Ac 0.8812 0.8812 0.2381
In 0.2500 0.7500 0.5000
In 0.7500 0.2500 0.5000
In 0.5000 0.5000 0.0000
```

=====

No. 11
AcIn3Rh3 | PBE | relaxed Values from VASP.

```
&SYSTEM
  ibrav = 0, nat = 14, ntyp = 3
/
ATOMIC_SPECIES
In 114.82 In.upf
Rh 102.91 Rh.upf
Ac 227.00 Ac.upf
CELL_PARAMETERS angstrom
7.2249 0.0000 0.0000
0.0000 7.2249 0.0000
0.0000 0.0000 7.2249
ATOMIC_POSITIONS crystal
In 0.0000 0.2500 0.5000
In 0.0000 0.7500 0.5000
In 0.2500 0.5000 0.0000
In 0.5000 0.0000 0.7500
In 0.7500 0.5000 0.0000
In 0.5000 0.0000 0.2500
Rh 0.2500 0.0000 0.5000
Rh 0.7500 0.0000 0.5000
Rh 0.0000 0.5000 0.2500
Rh 0.0000 0.5000 0.7500
Rh 0.5000 0.7500 0.0000
Rh 0.5000 0.2500 0.0000
Ac 0.5000 0.5000 0.5000
Ac 0.0000 0.0000 0.0000
```

Properties
E above lowest polymorph: 352 meV per atom

=====

No. 12
Ac3In6Rh5 | PBE | relaxed Values from VASP.

```
&SYSTEM
  ibrav = 0, nat = 28, ntyp = 3
/
ATOMIC_SPECIES
Rh 102.91 Rh.upf
In 114.82 In.upf
Ac 227.00 Ac.upf
CELL_PARAMETERS angstrom
-4.3098 -0.7090 0.4810
0.7913 -8.7405 -5.7939
2.5106 -7.4267 11.5467
ATOMIC_POSITIONS crystal
Rh 0.0000 0.5572 0.8897
Rh 0.0000 0.8478 0.3421
Rh 0.0000 0.8478 0.6579
Rh 0.5000 0.2038 0.5000
Rh 0.0000 0.7962 0.0000
Rh 0.5000 0.4428 0.6103
Rh 0.5000 0.1522 0.1579
Rh 0.0000 0.5572 0.1103
Rh 0.5000 0.4428 0.3897
Rh 0.5000 0.1522 0.8421
In 0.5000 0.9807 0.0000
In 0.0000 0.4170 0.5000
In 0.0000 0.9933 0.1536
In 0.5000 0.0067 0.3464
In 0.5000 0.4205 0.8148
In 0.0000 0.5795 0.3148
In 0.5000 0.0067 0.6536
In 0.5000 0.4205 0.1852
In 0.5000 0.5830 0.0000
In 0.0000 0.0193 0.5000
In 0.0000 0.5795 0.6852
In 0.0000 0.9933 0.8464
Ac 0.5000 0.7553 0.1898
Ac 0.0000 0.2447 0.6898
Ac 0.5000 0.7553 0.8102
Ac 0.5000 0.7144 0.5000
Ac 0.0000 0.2856 0.0000
Ac 0.0000 0.2447 0.3102
```

=====

Q: Which ΔH_f (0 K) values were calculated for the entries above? A: -0.430; -0.499; -0.375; -0.142; -0.341; -0.504; -0.251; -0.492; -0.178; -0.184; 0.010; -0.544, in eV per atom.
Q: Which E_tot values were calculated for the entries above? A: -4.850; -4.434; -4.824; -4.046; -5.252; -5.252; -4.340; -4.997; -4.520; -4.220; -4.901; -5.224, in eV per atom.